VASP calculation (PBE) on KSe2IN after structural relaxation.

D(E_F) = 4.5 states/eV/f.u.
ΔE to the lowest computed polymorph = 0.733 eV/atom
Raw formation energy = 1.4066 eV/atom
M_tot = 7.05 μB/f.u.

a = 6.3373 Å, b = 6.3373 Å, c = 5.4049 Å
α = 90.00°, β = 90.00°, γ = 90.00°
Closest atoms and distances in Å follow each position.
Space group P4/mmm (No. 123)
One atom of each set of equivalent atoms:
K  0.0000  0.0000  0.0000  2 N 2.70
Se  0.0000  0.5000  0.0000  2 K 3.17
I  0.5000  0.5000  0.5000  8 Se 4.16, 4 N 4.48
N  0.0000  0.0000  0.5000  2 K 2.70

VASP calculation (PBE) on KSeIN2 after structural relaxation.

D(E_F) = 3.1 states/eV/f.u.
ΔE to the lowest computed polymorph = 0.000 eV/atom
Raw formation energy = 1.1911 eV/atom
M_tot = 2.42 μB/f.u.

a = 4.3210 Å, b = 4.3210 Å, c = 7.2814 Å
α = 90.00°, β = 90.00°, γ = 90.00°
Closest atoms and distances in Å follow each position.
Space group P4/mmm (No. 123)
One atom of each set of equivalent atoms:
K  0.0000  0.0000  0.0000  4 I 3.06
Se  0.5000  0.5000  0.5000  4 N 2.16
I  0.5000  0.5000  0.0000  4 K 3.06
N  0.0000  0.5000  0.5000  2 Se 2.16

VASP calculation (PBE) on KSe2IN after structural relaxation.

D(E_F) = 4.5 states/eV/f.u.
ΔE to the lowest computed polymorph = 0.000 eV/atom
Raw formation energy = 0.6733 eV/atom
M_tot = 1.03 μB/f.u.

a = 5.7379 Å, b = 5.7379 Å, c = 4.0639 Å
α = 90.00°, β = 90.00°, γ = 90.00°
Closest atoms and distances in Å follow each position.
Space group P4/mmm (No. 123)
One atom of each set of equivalent atoms:
K  0.0000  0.0000  0.0000  8 Se 3.52
Se  0.0000  0.5000  0.5000  2 I 2.87
I  0.5000  0.5000  0.5000  2 N 2.03
N  0.5000  0.5000  0.0000  2 I 2.03

VASP calculation (PBE) on KSeIN2 after structural relaxation.

D(E_F) = 3.2 states/eV/f.u.
ΔE to the lowest computed polymorph = 0.165 eV/atom
Raw formation energy = 1.3559 eV/atom
M_tot = 1.97 μB/f.u.

a = 4.3738 Å, b = 4.3738 Å, c = 5.5682 Å
α = 90.00°, β = 90.00°, γ = 90.00°
Closest atoms and distances in Å follow each position.
Space group P4/mmm (No. 123)
One atom of each set of equivalent atoms:
K  0.0000  0.0000  0.0000  4 Se 3.09
Se  0.5000  0.5000  0.0000  2 I 2.78, 4 K 3.09
I  0.5000  0.5000  0.5000  4 N 2.19
N  0.0000  0.5000  0.5000  2 I 2.19

VASP calculation (PBE) on KSeIN2 after structural relaxation.

D(E_F) = 3.7 states/eV/f.u.
ΔE to the lowest computed polymorph = 0.750 eV/atom
Raw formation energy = 1.9408 eV/atom
M_tot = 5.72 μB/f.u.

a = 4.9954 Å, b = 4.9954 Å, c = 6.5452 Å
α = 90.00°, β = 90.00°, γ = 90.00°
Closest atoms and distances in Å follow each position.
Space group P4/mmm (No. 123)
One atom of each set of equivalent atoms:
K  0.0000  0.0000  0.0000  4 N 2.50
Se  0.0000  0.0000  0.5000  2 K 3.27, 4 I 3.53
I  0.5000  0.5000  0.5000  4 Se 3.53
N  0.0000  0.5000  0.0000  2 K 2.50

VASP calculation (PBE) on KSiIN2 after structural relaxation.

D(E_F) = 2.9 states/eV/f.u.
ΔE to the lowest computed polymorph = 1.364 eV/atom
Raw formation energy = 2.1435 eV/atom
M_tot = 4.00 μB/f.u.

a = 5.0196 Å, b = 5.0196 Å, c = 6.7699 Å
α = 90.00°, β = 90.00°, γ = 90.00°
Closest atoms and distances in Å follow each position.
Space group P4/mmm (No. 123)
One atom of each set of equivalent atoms:
K  0.0000  0.0000  0.0000  4 N 2.51
Si  0.5000  0.5000  0.5000  4 I 3.55
I  0.0000  0.0000  0.5000  2 K 3.38, 4 Si 3.55
N  0.0000  0.5000  0.0000  2 K 2.51

VASP calculation (PBE) on KSiIN2 after structural relaxation.

D(E_F) = 2.3 states/eV/f.u.
ΔE to the lowest computed polymorph = 0.000 eV/atom
Raw formation energy = 0.7794 eV/atom
M_tot = 1.36 μB/f.u.

a = 3.9971 Å, b = 3.9971 Å, c = 5.7744 Å
α = 90.00°, β = 90.00°, γ = 90.00°
Closest atoms and distances in Å follow each position.
Space group P4/mmm (No. 123)
One atom of each set of equivalent atoms:
K  0.0000  0.0000  0.0000  4 I 2.83
Si  0.5000  0.5000  0.5000  4 N 2.00
I  0.5000  0.5000  0.0000  4 K 2.83, 2 Si 2.89
N  0.0000  0.5000  0.5000  2 Si 2.00

VASP calculation (PBE) on KSnIN2 after structural relaxation.

D(E_F) = 2.8 states/eV/f.u.
ΔE to the lowest computed polymorph = 0.973 eV/atom
Raw formation energy = 1.7305 eV/atom
M_tot = 4.01 μB/f.u.

a = 5.0753 Å, b = 5.0753 Å, c = 6.5575 Å
α = 90.00°, β = 90.00°, γ = 90.00°
Closest atoms and distances in Å follow each position.
Space group P4/mmm (No. 123)
One atom of each set of equivalent atoms:
K  0.0000  0.0000  0.0000  4 N 2.54
Sn  0.5000  0.5000  0.5000  4 I 3.59
I  0.0000  0.0000  0.5000  2 K 3.28, 4 Sn 3.59
N  0.0000  0.5000  0.0000  2 K 2.54